Density functional theory data (PBE) for a relaxed Mg2FeIr crystal.

Cell lengths 2.7660, 2.7660, 8.7245 Å; angles 90.00, 90.00, 112.05 degrees
Last column: magnetic moment on the atom in μB.
Element x y z (fractional)
Mg 0.0000 0.0000 0.5020  -0.02
Fe 0.5000 0.5000 0.2500  2.55
Ir 0.5000 0.5000 0.7500  -0.07
Mg 0.0000 0.0000 0.9980  -0.02

Summary:
crystal system	orthorhombic
SG	Cmmm (65)
formation energy from the elements	29	kJ/mol of formula units

Density functional theory data (PBE) for a relaxed MgFe2Ir crystal.

Cell lengths 6.9034, 6.9034, 5.4951 Å; angles 51.09, 51.09, 90.00 degrees
Element x y z (fractional)
Fe 0.0801 0.6250 0.2500
Fe 0.8750 0.9199 0.7500
Mg 0.2500 0.7500 0.5000
Mg 0.5000 0.5000 0.0000
Fe 0.3750 0.3301 0.7500
Ir 0.7500 0.2500 0.5000
Ir 0.0000 0.0000 0.0000
Fe 0.6699 0.1250 0.2500

Summary:
crystal system	tetragonal
SG	I-42d (122)
formation energy from the elements	260	kJ/mol of formula units

- formation energy from the elements of number 1 (Mg2FeIr)?
  29 kJ/mol of formula units

- What is the formation energy from the elements in the first record?
  29 kJ/mol of formula units

Please write out number 2 again, unchanged.
Density functional theory data (PBE) for a relaxed MgFe2Ir crystal.

Cell lengths 6.9034, 6.9034, 5.4951 Å; angles 51.09, 51.09, 90.00 degrees
Element x y z (fractional)
Fe 0.0801 0.6250 0.2500
Fe 0.8750 0.9199 0.7500
Mg 0.2500 0.7500 0.5000
Mg 0.5000 0.5000 0.0000
Fe 0.3750 0.3301 0.7500
Ir 0.7500 0.2500 0.5000
Ir 0.0000 0.0000 0.0000
Fe 0.6699 0.1250 0.2500

Summary:
crystal system	tetragonal
SG	I-42d (122)
formation energy from the elements	260	kJ/mol of formula units